A relaxed structure of TbHoIr2, computed with GGA-PBE.

Unit cell a=4.925 b=3.318 c=9.851 alpha=90.00 beta=90.00 gamma=90.00
Positions (direct):
Tb 0.250 0.000 0.126
Tb 0.750 0.000 0.874
Ho 0.250 0.000 0.624
Ho 0.750 0.000 0.376
Ir 0.250 0.500 0.377
Ir 0.250 0.500 0.873
Ir 0.750 0.500 0.127
Ir 0.750 0.500 0.623

Output
SG = Pmma (51)
theoretical density = 14.611 g/cm3
formation enthalpy at 0 K = -0.811 eV/atom